Entry 1:
A plane-wave DFT calculation with GGA-PBE was carried out for a geometry-optimized Dy4YZn5 structure.

Lattice parameters (Å, degrees): 3.5727 3.5727 17.8314 90.00 90.00 90.00
Closest atoms and distances in Å follow each position.
Element x y z (fractional)
1 Dy 0.0000 0.0000 0.0999  8 Zn 3.09
2 Dy 0.0000 0.0000 0.2994  8 Zn 3.09
3 Dy 0.0000 0.0000 0.7006  8 Zn 3.09
4 Dy 0.0000 0.0000 0.9001  8 Zn 3.09
5 Y 0.0000 0.0000 0.5000  8 Zn 3.10
6 Zn 0.5000 0.5000 0.0000  8 Dy 3.09
7 Zn 0.5000 0.5000 0.1999  8 Dy 3.09
8 Zn 0.5000 0.5000 0.3991  4 Dy 3.09, 4 Y 3.10
9 Zn 0.5000 0.5000 0.6009  4 Dy 3.09, 4 Y 3.10
10 Zn 0.5000 0.5000 0.8001  8 Dy 3.09

final energy: -3.468 eV/atom
ΔH_f (0 K): -0.34 eV per atom


Entry 2:
A plane-wave DFT calculation with GGA-PBE was carried out for a geometry-optimized KCd2Cu2 structure.

Lattice parameters (Å, degrees): 6.2361 6.2361 6.2361 134.39 134.39 66.49
Closest atoms and distances in Å follow each position.
Element x y z (fractional)
1 K 0.0000 0.0000 0.0000  8 Cu 3.56, 10 Cd 3.73
2 Cd 0.3577 0.3577 0.0000  4 Cu 2.67, 1 Cd 2.97
3 Cd 0.6423 0.6423 0.0000  4 Cu 2.67, 1 Cd 2.97
4 Cu 0.2500 0.7500 0.5000  4 Cd 2.67
5 Cu 0.7500 0.2500 0.5000  4 Cd 2.67

final energy: -2.055 eV/atom
ΔH_f (0 K): 0.17 eV per atom


Entry 3:
A plane-wave DFT calculation with GGA-PBE was carried out for a geometry-optimized TmSc3Cu2 structure.

Lattice parameters (Å, degrees): 3.4436 9.0173 8.2260 90.00 90.00 90.00
Closest atoms and distances in Å follow each position.
Element x y z (fractional)
1 Tm 0.0000 0.0817 0.0000  4 Cu 2.87-2.90
2 Tm 0.0000 0.9183 0.5000  4 Cu 2.87-2.90
3 Sc 0.0000 0.2926 0.6482  3 Cu 2.65-2.69
4 Sc 0.0000 0.7074 0.1482  3 Cu 2.65-2.69
5 Sc 0.5000 0.2168 0.3247  3 Cu 2.62-2.81
6 Sc 0.5000 0.4272 0.9736  4 Cu 2.82-2.89
7 Sc 0.5000 0.5728 0.4736  4 Cu 2.82-2.89
8 Sc 0.5000 0.7832 0.8247  3 Cu 2.62-2.81
9 Cu 0.0000 0.4259 0.2552  7 Sc 2.62-2.89
10 Cu 0.0000 0.5741 0.7552  7 Sc 2.62-2.89
11 Cu 0.5000 0.0788 0.7168  3 Sc 2.65-2.81, 4 Tm 2.87-2.90
12 Cu 0.5000 0.9212 0.2168  3 Sc 2.65-2.81, 4 Tm 2.87-2.90

final energy: -5.414 eV/atom
ΔH_f (0 K): -0.14 eV per atom


The lowest final energy belongs to which entry? TmSc3Cu2


Among the records above, which one has the lowest ΔH_f (0 K)? Dy4YZn5